DFT (PBE) results for a geometry-optimized Pm4Hg3 structure.

Output
E_tot ... -3.163 eV/atom
DFT formation energy ... -30.7 kJ per mole of atoms
E above lowest polymorph ... 0.0521 eV per atom

Lattice parameters (Å, degrees): 5.3354 5.3354 9.1042 72.96 72.96 60.00
With the nearest neighbours (Å) after each atom.
Sites, in units of the cell vectors:
Pm: 0.3796 0.3796 0.8613  7 Hg 3.22-3.32
Hg: 0.7495 0.7495 0.7516  8 Pm 3.16-3.32
Hg: 0.2505 0.2505 0.2484  8 Pm 3.16-3.32
Pm: 0.8723 0.8723 0.3831  5 Hg 3.16-3.29
Hg: 0.0000 0.0000 0.0000  8 Pm 3.28-3.30
Pm: 0.1277 0.1277 0.6169  5 Hg 3.16-3.29
Pm: 0.6204 0.6204 0.1387  7 Hg 3.22-3.32